A geometry-optimized Mn2ZnCd structure, computed with GGA-PBE.

Properties
total moment = 1.75 μB per atom
E_tot = -4.855 eV per atom
polymorph energy (0 for the lowest one) = 148 meV per atom
energy of formation = 0.28 eV/atom

Lattice parameters (Å, degrees): 2.848 4.169 5.598 90.00 101.53 90.00
Space group Pm (No. 6)
Symmetry-distinct sites (fractional):
Mn 0.000 0.000 0.000 (multiplicity 1)
Mn 0.374 0.500 0.734 (multiplicity 1)
Zn 0.578 0.500 0.191 (multiplicity 1)
Cd 0.768 0.000 0.495 (multiplicity 1)